Entry 1:
VASP calculation (GGA-PBE) on crystalline DyCo2SiB at its relaxed geometry.

a = 5.3577 Å, b = 5.3577 Å, c = 5.3577 Å
α = 139.27°, β = 139.27°, γ = 58.96°
Last column: nearest neighbours and their distance in Å.
Sites, in units of the cell vectors:
B  0.6353  0.6353  0.0000  4 Co 2.10
Si  0.3764  0.3764  0.0000  4 Co 2.26, 1 B 2.41
Co  0.2398  0.7398  0.5000  2 B 2.10, 2 Si 2.26
Co  0.7398  0.2398  0.5000  2 B 2.10, 2 Si 2.26
Dy  0.0088  0.0088  0.0000  8 Co 2.85-3.13, 4 B 2.89, 4 Si 2.91

Results
**Symmetry**: I4mm, No. 107
**Total magnetization**: 0.00 μB/f.u.

***

Entry 2:
VASP calculation (GGA-PBE) on crystalline DyCo3SiB at its relaxed geometry.

a = 5.1374 Å, b = 5.1374 Å, c = 3.2499 Å
α = 90.00°, β = 90.00°, γ = 120.00°
Last column: nearest neighbours and their distance in Å.
Sites, in units of the cell vectors:
Co  0.6870  0.8435  0.5000  2 B 2.14, 2 Si 2.26
Co  0.1565  0.8435  0.5000  2 B 2.14, 2 Si 2.26
Co  0.1565  0.3130  0.5000  2 B 2.14, 2 Si 2.26
Si  0.3333  0.6667  0.0000  6 Co 2.26
Dy  0.6667  0.3333  0.0000  3 Si 2.97, 3 B 2.97, 12 Co 3.04, 2 Dy 3.25
B  0.0000  0.0000  0.0000  6 Co 2.14

Results
**Symmetry**: P-6m2, No. 187
**Total magnetization**: 0.01 μB/f.u.

***

Entry 3:
VASP calculation (GGA-PBE) on crystalline Er4CoB13 at its relaxed geometry.

a = 7.2655 Å, b = 7.2655 Å, c = 6.8406 Å
α = 90.00°, β = 90.00°, γ = 90.00°
Last column: nearest neighbours and their distance in Å.
Sites, in units of the cell vectors:
B  0.8297  0.0392  0.2547  3 B 1.78-1.80
B  0.8297  0.0392  0.7453  3 B 1.78-1.80
B  0.0903  0.4097  0.7500  3 B 1.78-1.85
B  0.9097  0.5903  0.2500  3 B 1.78-1.85
B  0.4608  0.6703  0.7547  3 B 1.78-1.80
B  0.4097  0.9097  0.2500  3 B 1.78-1.85
B  0.0000  0.0000  0.5000  8 B 2.10
B  0.5392  0.3297  0.7547  3 B 1.78-1.80
B  0.6703  0.5392  0.2453  3 B 1.78-1.80
B  0.3297  0.4608  0.7547  3 B 1.78-1.80
B  0.6703  0.5392  0.7547  3 B 1.78-1.80
B  0.0392  0.1703  0.2547  3 B 1.78-1.80
B  0.0392  0.1703  0.7453  3 B 1.78-1.80
B  0.9608  0.8297  0.2547  3 B 1.78-1.80
B  0.9608  0.8297  0.7453  3 B 1.78-1.80
B  0.1703  0.9608  0.2547  3 B 1.78-1.80
B  0.5903  0.0903  0.2500  3 B 1.78-1.85
B  0.5392  0.3297  0.2453  3 B 1.78-1.80
B  0.9097  0.5903  0.7500  3 B 1.78-1.85
B  0.3297  0.4608  0.2453  3 B 1.78-1.80
B  0.5903  0.0903  0.7500  3 B 1.78-1.85
B  0.4608  0.6703  0.2453  3 B 1.78-1.80
B  0.5000  0.5000  0.0000  8 B 2.10
B  0.1703  0.9608  0.7453  3 B 1.78-1.80
B  0.0903  0.4097  0.2500  3 B 1.78-1.85
B  0.4097  0.9097  0.7500  3 B 1.78-1.85
Er  0.1812  0.6844  0.5000  13 B 2.55-2.71, 1 Co 2.68
Er  0.6844  0.8188  0.5000  13 B 2.55-2.71, 1 Co 2.68
Er  0.8156  0.3188  0.0000  13 B 2.55-2.71, 1 Co 2.68
Er  0.1844  0.6812  0.0000  13 B 2.55-2.71, 1 Co 2.68
Er  0.3188  0.1844  0.0000  13 B 2.55-2.71, 1 Co 2.68
Er  0.6812  0.8156  0.0000  13 B 2.55-2.71, 1 Co 2.68
Er  0.3156  0.1812  0.5000  13 B 2.55-2.71, 1 Co 2.68
Er  0.8188  0.3156  0.5000  13 B 2.55-2.71, 1 Co 2.68
Co  0.0000  0.0000  0.0000  8 B 2.16
Co  0.5000  0.5000  0.5000  8 B 2.16

Results
**Symmetry**: P4/mnc, No. 128
**Total magnetization**: 0.00 μB/f.u.

***

| no. | DFT total energy (eV/atom) |
| --- | --- |
| 1 | -6.8225 |
| 2 | -6.8803 |
| 3 | -6.7367 |